Computed, not measured: a relaxed structure of K2RbGaH6 at the GGA-PBE level of DFT.

```
10
Lattice="5.927 0.000 0.000 0.000 5.927 0.000 0.000 0.000 5.676" Properties=species:S:1:pos:R:3 pbc="T T T"
K 0.000 2.964 0.000
K 2.964 0.000 0.000
Rb 0.000 0.000 3.164
Ga 2.964 2.964 3.654
H 0.000 0.000 0.444
H 1.784 1.784 4.123
H 1.784 4.143 4.123
H 2.964 2.964 2.027
H 4.143 1.784 4.123
H 4.143 4.143 4.123
```

=====

Computed, not measured: a relaxed structure of KRbGa2H8 at the GGA-PBE level of DFT.

```
12
Lattice="2.665 1.539 8.047 -2.665 1.539 8.047 0.000 -3.077 8.047" Properties=species:S:1:pos:R:3 pbc="T T T"
K 0.000 0.000 0.000
Rb 0.000 0.000 12.071
Ga 0.000 0.000 6.009
Ga 0.000 0.000 18.134
H -1.226 -1.089 9.564
H 0.000 0.000 4.405
H -1.556 0.517 14.578
H 0.330 -1.606 14.578
H -0.330 1.606 9.564
H 1.556 -0.517 9.564
H 0.000 0.000 19.737
H 1.226 1.089 14.578
```

=====

Computed, not measured: a relaxed structure of KGa2ReH at the GGA-PBE level of DFT.

```
5
Lattice="5.184 0.000 0.000 0.000 5.184 0.000 0.000 0.000 3.206" Properties=species:S:1:pos:R:3 pbc="T T T"
K 0.000 0.000 0.000
Ga 0.000 2.592 0.000
Ga 2.592 0.000 0.000
Re 2.592 2.592 1.603
H 0.000 0.000 1.603
```

=====

Computed, not measured: a relaxed structure of KGaSnH at the GGA-PBE level of DFT.

```
4
Lattice="4.588 0.000 0.000 -2.294 3.974 0.000 0.000 0.000 5.629" Properties=species:S:1:pos:R:3 pbc="T T T"
K 0.000 0.000 0.000
Ga 0.000 2.649 2.427
Sn 2.294 1.325 3.060
H 0.000 2.649 0.755
```

=====

Computed, not measured: a relaxed structure of K2Ga2Sn2H at the GGA-PBE level of DFT.

```
7
Lattice="3.475 0.000 0.000 -1.716 6.494 0.000 -0.031 -2.674 7.842" Properties=species:S:1:pos:R:3 pbc="T T T"
K -0.006 -0.616 1.930
K 1.733 4.436 5.912
Ga -0.016 1.545 7.185
Ga 1.743 2.276 0.657
Sn 0.006 2.843 3.021
Sn 1.721 0.978 4.821
H 1.737 0.000 0.000
```

=====

Computed, not measured: a relaxed structure of KSrGa2H8 at the GGA-PBE level of DFT.

```
12
Lattice="2.456 1.418 7.556 -2.456 1.418 7.556 0.000 -2.836 7.556" Properties=species:S:1:pos:R:3 pbc="T T T"
K 0.000 0.000 0.000
Sr 0.000 0.000 11.334
Ga 0.000 0.000 5.577
Ga 0.000 0.000 17.091
H -1.139 -0.658 9.036
H 0.000 0.000 3.906
H 0.000 -1.316 13.632
H -1.139 0.658 13.632
H 1.139 -0.658 9.036
H 0.000 1.316 9.036
H 0.000 0.000 18.762
H 1.139 0.658 13.632
```

=====

Computed, not measured: a relaxed structure of KGaHW2 at the GGA-PBE level of DFT.

```
5
Lattice="5.648 0.000 0.000 0.000 5.648 0.000 0.000 0.000 2.892" Properties=species:S:1:pos:R:3 pbc="T T T"
K 0.000 0.000 0.000
Ga 2.824 2.824 1.446
H 2.824 2.824 0.000
W 0.000 2.824 1.446
W 2.824 0.000 1.446
```

=====

Computed, not measured: a relaxed structure of La4Ga2H at the GGA-PBE level of DFT.

```
7
Lattice="-2.376 2.376 8.435 2.376 -2.376 8.435 2.376 2.376 -8.435" Properties=species:S:1:pos:R:3 pbc="T T T"
La 2.376 0.000 0.000
La 0.000 0.000 3.134
La 0.000 2.376 0.000
La 0.000 0.000 13.737
Ga 0.000 0.000 6.196
Ga 0.000 0.000 10.675
H 0.000 0.000 0.000
```

=====

no.,calculated total energy (eV/atom)
1,-2.737
2,-3.110
3,-2.857
4,-2.933
5,-2.839
6,-3.111
7,-4.550
8,-4.571